Record 1
The following is a DFT calculation (PBE) of crystalline Na3NdIn2O6 at its relaxed geometry.

a = 5.844 Å, b = 5.844 Å, c = 5.954 Å
α = 99.25°, β = 99.25°, γ = 120.11°
Fractional positions:
Na1 0.175 0.825 0.500
Na2 0.825 0.175 0.500
Na3 0.500 0.500 0.500
In1 0.334 0.666 0.000
In2 0.666 0.334 0.000
Nd1 0.000 0.000 0.000
O1 0.280 0.280 0.781
O2 0.071 0.423 0.216
O3 0.423 0.071 0.216
O4 0.929 0.577 0.784
O5 0.577 0.929 0.784
O6 0.720 0.720 0.219

Values from the calculation:
The energy relative to the elements, uncorrected comes out at -1.93 eV per atom. The space-group type is C2/m (12). For the density of states at the Fermi level, the calculation gives 0.00 states/eV/cell.

---

Record 2
The following is a DFT calculation (PBE) of crystalline Na4Nd3InO8 at its relaxed geometry.

a = 7.027 Å, b = 6.954 Å, c = 7.028 Å
α = 120.35°, β = 120.00°, γ = 90.00°
Fractional positions:
Nd1 0.500 0.500 0.000
Nd2 0.500 0.500 0.500
Nd3 0.000 0.500 0.500
Na1 0.000 0.000 0.500
Na2 0.000 0.000 0.000
Na3 0.500 0.000 0.000
Na4 0.500 0.000 0.500
O1 0.751 0.718 0.985
O2 0.766 0.282 0.015
O3 0.249 0.282 0.015
O4 0.234 0.718 0.985
O5 0.766 0.281 0.533
O6 0.261 0.284 0.523
O7 0.234 0.719 0.467
O8 0.739 0.716 0.477
In1 0.000 0.500 0.000

Values from the calculation:
The energy relative to the elements, uncorrected comes out at -2.32 eV per atom. The space-group type is R-3m (166). For the density of states at the Fermi level, the calculation gives 0.00 states/eV/cell.

---

Record 3
The following is a DFT calculation (PBE) of crystalline NaNd2InO5 at its relaxed geometry.

a = 6.826 Å, b = 6.826 Å, c = 7.746 Å
α = 116.14°, β = 116.14°, γ = 90.00°
Fractional positions:
O1 0.500 0.500 0.000
O2 0.230 0.019 0.748
O3 0.770 0.981 0.252
O4 0.981 0.481 0.252
O5 0.019 0.519 0.748
O6 0.519 0.730 0.748
O7 0.000 0.000 0.000
O8 0.730 0.230 0.748
O9 0.270 0.770 0.252
O10 0.481 0.270 0.252
Na1 0.750 0.750 0.500
Na2 0.250 0.250 0.500
Nd1 0.678 0.178 0.000
Nd2 0.822 0.678 0.000
Nd3 0.178 0.322 0.000
Nd4 0.322 0.822 0.000
In1 0.250 0.750 0.500
In2 0.750 0.250 0.500

Values from the calculation:
The energy relative to the elements, uncorrected comes out at -2.39 eV per atom. The space-group type is I4/mcm (140). For the density of states at the Fermi level, the calculation gives 0.00 states/eV/cell.

---

Record 4
The following is a DFT calculation (PBE) of crystalline Na2NdInPb2 at its relaxed geometry.

a = 4.756 Å, b = 7.872 Å, c = 9.653 Å
α = 90.00°, β = 90.00°, γ = 90.00°
Fractional positions:
In1 0.500 0.150 0.677
In2 0.500 0.650 0.323
Pb1 0.500 0.756 0.628
Pb2 0.000 0.765 0.155
Pb3 0.500 0.256 0.372
Pb4 0.000 0.265 0.845
Nd1 0.000 0.474 0.551
Nd2 0.000 0.974 0.449
Na1 0.500 0.046 0.069
Na2 0.000 0.354 0.170
Na3 0.500 0.546 0.931
Na4 0.000 0.854 0.830

Values from the calculation:
For the formation energy, the calculation gives -0.300 eV/atom. The space-group type is Pmc2_1 (26). For the density of states at the Fermi level, the calculation gives 1.77 states/eV/cell.

---

Record 5
The following is a DFT calculation (PBE) of crystalline NaPrNdIn at its relaxed geometry.

a = 5.567 Å, b = 5.567 Å, c = 5.567 Å
α = 60.00°, β = 60.00°, γ = 60.00°
Fractional positions:
Pr1 0.250 0.250 0.250
In1 0.500 0.500 0.500
Na1 0.000 0.000 0.000
Nd1 0.750 0.750 0.750

Values from the calculation:
For the formation energy, the calculation gives -0.165 eV/atom. The space-group type is F-43m (216). For the density of states at the Fermi level, the calculation gives 5.47 states/eV/cell.

---

Record 6
The following is a DFT calculation (PBE) of crystalline Na4Nd3InS8 at its relaxed geometry.

a = 8.121 Å, b = 8.209 Å, c = 8.122 Å
α = 119.66°, β = 119.99°, γ = 90.00°
Fractional positions:
S1 0.256 0.266 0.511
S2 0.237 0.731 0.994
S3 0.744 0.734 0.489
S4 0.763 0.269 0.525
S5 0.757 0.731 0.994
S6 0.237 0.731 0.475
S7 0.243 0.269 0.006
S8 0.763 0.269 0.006
Na1 0.000 0.000 0.500
Na2 0.500 0.000 0.500
Na3 0.000 0.000 0.000
Na4 0.500 0.000 0.000
Nd1 0.000 0.500 0.500
Nd2 0.500 0.500 0.000
Nd3 0.500 0.500 0.500
In1 0.000 0.500 0.000

Values from the calculation:
The energy relative to the elements, uncorrected comes out at -1.53 eV per atom. The space-group type is R-3m (166).

---

Record 7
The following is a DFT calculation (PBE) of crystalline Na3Nd3InS8 at its relaxed geometry.

a = 8.166 Å, b = 8.166 Å, c = 8.187 Å
α = 119.93°, β = 90.00°, γ = 120.00°
Fractional positions:
S1 0.767 0.534 0.275
S2 0.745 0.489 0.734
S3 0.255 0.511 0.266
S4 0.767 0.007 0.275
S5 0.760 0.993 0.725
S6 0.233 0.993 0.725
S7 0.233 0.466 0.725
S8 0.240 0.007 0.275
Nd1 0.500 0.500 0.500
Nd2 0.500 0.000 0.500
Nd3 0.000 0.500 0.500
Na1 0.500 0.500 0.000
Na2 0.000 0.000 0.000
Na3 0.000 0.500 0.000
In1 0.000 0.000 0.500

Values from the calculation:
The energy relative to the elements, uncorrected comes out at -1.42 eV per atom. The space-group type is R-3m (166). For the density of states at the Fermi level, the calculation gives 15.11 states/eV/cell.

---

Record 8
The following is a DFT calculation (PBE) of crystalline NaNdScIn at its relaxed geometry.

a = 5.340 Å, b = 5.340 Å, c = 5.340 Å
α = 60.00°, β = 60.00°, γ = 60.00°
Fractional positions:
Sc1 0.250 0.250 0.250
Na1 0.000 0.000 0.000
In1 0.500 0.500 0.500
Nd1 0.750 0.750 0.750

Values from the calculation:
For the formation energy, the calculation gives -0.104 eV/atom. The space-group type is F-43m (216). For the density of states at the Fermi level, the calculation gives 4.76 states/eV/cell.

---

Record 9
The following is a DFT calculation (PBE) of crystalline NaNdInSe3 at its relaxed geometry.

a = 4.152 Å, b = 8.479 Å, c = 10.177 Å
α = 95.81°, β = 90.00°, γ = 90.00°
Fractional positions:
Se1 0.750 0.886 0.173
Se2 0.250 0.615 0.867
Se3 0.750 0.340 0.540
Se4 0.750 0.385 0.133
Se5 0.250 0.114 0.827
Se6 0.250 0.660 0.460
Na1 0.250 0.139 0.143
Na2 0.750 0.861 0.857
In1 0.750 0.864 0.440
In2 0.250 0.136 0.560
Nd1 0.750 0.373 0.838
Nd2 0.250 0.627 0.162

Values from the calculation:
The energy relative to the elements, uncorrected comes out at -1.18 eV per atom. The space-group type is P2_1/m (11). For the density of states at the Fermi level, the calculation gives 2.64 states/eV/cell.

---

Record 10
The following is a DFT calculation (PBE) of crystalline NaNdSmIn at its relaxed geometry.

a = 5.522 Å, b = 5.522 Å, c = 5.522 Å
α = 60.00°, β = 60.00°, γ = 60.00°
Fractional positions:
In1 0.750 0.750 0.750
Sm1 0.500 0.500 0.500
Nd1 0.000 0.000 0.000
Na1 0.250 0.250 0.250

Values from the calculation:
For the formation energy, the calculation gives -0.155 eV/atom. The space-group type is F-43m (216). For the density of states at the Fermi level, the calculation gives 5.24 states/eV/cell.

---

Record 11
The following is a DFT calculation (PBE) of crystalline NaTbNdIn at its relaxed geometry.

a = 5.483 Å, b = 5.483 Å, c = 5.483 Å
α = 60.00°, β = 60.00°, γ = 60.00°
Fractional positions:
Na1 0.000 0.000 0.000
Tb1 0.250 0.250 0.250
Nd1 0.750 0.750 0.750
In1 0.500 0.500 0.500

Values from the calculation:
For the formation energy, the calculation gives -0.143 eV/atom. The space-group type is F-43m (216). For the density of states at the Fermi level, the calculation gives 4.96 states/eV/cell.

---

Record 12
The following is a DFT calculation (PBE) of crystalline Na2NdInTe4 at its relaxed geometry.

a = 4.418 Å, b = 7.788 Å, c = 8.043 Å
α = 108.77°, β = 90.00°, γ = 90.00°
Fractional positions:
Te1 0.500 0.775 0.776
Te2 0.000 0.252 0.758
Te3 0.000 0.748 0.242
Te4 0.500 0.225 0.224
Nd1 0.500 0.500 0.000
In1 0.000 0.000 0.000
Na1 0.000 0.500 0.500
Na2 0.500 0.000 0.500

Values from the calculation:
The energy relative to the elements, uncorrected comes out at -0.90 eV per atom. The space-group type is P2/m (10). For the density of states at the Fermi level, the calculation gives 1.44 states/eV/cell.

---

How do the records compare in energy? In the order shown, they have -67.12 -99.15 -119.73 -38.73 -14.27 -79.87 -75.37 -15.57 -52.71 -14.16 -14.03 -29.91 eV per cell.